## RbPmCoCl6 (PBE)

Data for a geometry-optimized RbPmCoCl6 structure.

The structure in extended XYZ format:
```
9
Lattice="3.3954 -5.8982 0.0000 3.3954 5.8982 0.0000 -0.0258 0.0000 7.3236" Properties=species:S:1:pos:R:3 pbc="T T T"
Rb 0.0000 0.0000 0.0000
Pm 3.3825 -1.9617 3.6618
Co 3.3825 1.9667 3.6618
Cl 1.3917 2.1079 5.1277
Cl 2.2695 3.6127 2.1944
Cl 4.4954 3.6127 5.1291
Cl 2.5669 0.1638 2.1633
Cl 4.1980 0.1638 5.1603
Cl 5.3732 2.1079 2.1958
```

Output
- Fermi-level density of states (states/eV/atom) = 0.099
- ΔE_f (raw) (eV/atom) = -1.629